# CuS6O2

A relaxed CuS6O2 crystal (PBE-GGA, Alexandria via LeMat-Bulk).

Raw formation energy   -22.4 kJ/mol of atoms

Structure (CIF):
```
data_CuS6O2
_chemical_formula_sum 'Cu2 S12 O4'
_cell_length_a 9.980
_cell_length_b 9.980
_cell_length_c 5.014
_cell_angle_alpha 92.86
_cell_angle_beta 92.86
_cell_angle_gamma 83.04
_symmetry_space_group_name_H-M 'P 1'
_symmetry_Int_Tables_number 1
loop_
_symmetry_equiv_pos_as_xyz
'x,y,z'
loop_
_atom_site_label
_atom_site_fract_x
_atom_site_fract_y
_atom_site_fract_z
_atom_site_occupancy
Cu1 0.210 0.790 0.750 1
Cu2 0.790 0.210 0.250 1
S1 0.001 0.790 0.560 1
S2 0.016 0.625 0.320 1
S3 0.210 0.999 0.940 1
S4 0.255 0.652 0.101 1
S5 0.348 0.745 0.399 1
S6 0.375 0.984 0.180 1
S7 0.625 0.016 0.820 1
S8 0.652 0.255 0.601 1
S9 0.745 0.348 0.899 1
S10 0.790 0.001 0.060 1
S11 0.984 0.375 0.680 1
S12 0.999 0.210 0.440 1
O1 0.093 0.372 0.890 1
O2 0.372 0.093 0.390 1
O3 0.628 0.907 0.610 1
O4 0.907 0.628 0.110 1
```



# LaGe2Pd

A relaxed LaGe2Pd crystal (PBE-GGA, Alexandria via LeMat-Bulk).

Energy relative to the elements   -0.569 eV per atom

Structure (CIF):
```
data_LaGe2Pd
_chemical_formula_sum 'La1 Ge2 Pd1'
_cell_length_a 4.218
_cell_length_b 4.811
_cell_length_c 4.811
_cell_angle_alpha 82.31
_cell_angle_beta 90.00
_cell_angle_gamma 90.00
_symmetry_space_group_name_H-M 'P 1'
_symmetry_Int_Tables_number 1
loop_
_symmetry_equiv_pos_as_xyz
'x,y,z'
loop_
_atom_site_label
_atom_site_fract_x
_atom_site_fract_y
_atom_site_fract_z
_atom_site_occupancy
La1 0.000 0.000 0.000 1
Ge1 0.500 0.511 0.888 1
Ge2 0.500 0.888 0.511 1
Pd1 0.500 0.393 0.393 1
```



# MgRe

A relaxed MgRe crystal (PBE-GGA, Alexandria via LeMat-Bulk).

Excess energy over the best structure of this formula in the dataset   0.54 eV/f.u.
Energy relative to the elements   0.337 eV per atom

Structure (CIF):
```
data_MgRe
_chemical_formula_sum 'Mg2 Re2'
_cell_length_a 5.197
_cell_length_b 5.197
_cell_length_c 5.197
_cell_angle_alpha 142.48
_cell_angle_beta 126.84
_cell_angle_gamma 66.88
_symmetry_space_group_name_H-M 'P 1'
_symmetry_Int_Tables_number 1
loop_
_symmetry_equiv_pos_as_xyz
'x,y,z'
loop_
_atom_site_label
_atom_site_fract_x
_atom_site_fract_y
_atom_site_fract_z
_atom_site_occupancy
Mg1 0.367 0.117 0.250 1
Mg2 0.633 0.883 0.750 1
Re1 0.103 0.353 0.750 1
Re2 0.897 0.647 0.250 1
```



The energy results, record by record, are as follows: -4.540, -5.408, -6.685 eV/atom.